(1)
A plane-wave DFT calculation with PBEsol was carried out for a relaxed Sr3SmCo2O8 crystal.

Calculated values
Space-group type: Amm2, No. 38
ΔE_f (raw) in eV per atom: -2.2900
Raw total energy in eV per formula unit: -100.14
Density of states at the Fermi level in states/eV per cell: 7.15

Cell: 5.2813 5.2815 6.6549 Å, 90.00 113.38 90.00°
Last column: magnetic moment on the atom in μB.
Element x y z (fractional)
O1 0.7610 0.7436 0.0105  0.09
O2 0.2495 0.2564 0.0105  0.09
O3 0.7610 0.2564 0.0105  0.09
O4 0.8430 0.0000 0.6861  0.00
O5 0.3297 0.5000 0.6594  0.00
O6 0.1600 0.0000 0.3199  -0.02
O7 0.2495 0.7436 0.0105  0.09
O8 0.6566 0.5000 0.3132  -0.02
Sr1 0.3585 0.0000 0.7170  0.00
Sr2 0.8548 0.5000 0.7096  0.00
Sr3 0.6444 0.0000 0.2888  0.00
Co1 0.4971 0.5000 0.9942  1.16
Co2 0.9984 0.0000 0.9967  1.20
Sm1 0.1366 0.5000 0.2731  0.01

(2)
A plane-wave DFT calculation with PBEsol was carried out for a relaxed SrSmCoO4 crystal.

Calculated values
Space-group type: Cmcm, No. 63
ΔE_f (raw) in eV per atom: -2.4278
Raw total energy in eV per formula unit: -52.66
Density of states at the Fermi level in states/eV per cell: 7.52

Cell: 5.2731 5.2929 6.5583 Å, 90.00 113.70 90.00°
Last column: magnetic moment on the atom in μB.
Element x y z (fractional)
Co1 0.2515 0.2500 0.5031  0.82
Co2 0.7485 0.7500 0.4969  0.82
O1 0.5000 0.0000 0.5000  0.03
O2 0.0000 0.5000 0.5000  0.03
O3 0.9066 0.7500 0.8131  -0.01
O4 0.4231 0.2500 0.8461  0.00
O5 0.0000 0.0000 0.5000  0.03
O6 0.0934 0.2500 0.1869  -0.01
O7 0.5000 0.5000 0.5000  0.03
O8 0.5769 0.7500 0.1539  0.00
Sr1 0.1043 0.7500 0.2086  0.00
Sr2 0.8957 0.2500 0.7914  0.00
Sm1 0.6167 0.2500 0.2334  0.00
Sm2 0.3833 0.7500 0.7666  0.00

(3)
A plane-wave DFT calculation with PBEsol was carried out for a relaxed Co5SnO12 crystal.

Calculated values
Space-group type: C2/m, No. 12
ΔE_f (raw) in eV per atom: -0.9224
Raw total energy in eV per formula unit: -122.54
Density of states at the Fermi level in states/eV per cell: 12.56

Cell: 4.9631 4.9637 9.0196 Å, 95.02 100.08 60.00°
Last column: magnetic moment on the atom in μB.
Element x y z (fractional)
O1 0.5310 0.6669 0.5979  0.09
O2 0.1978 0.3331 0.5979  0.09
O3 0.1346 0.0000 0.3999  0.07
O4 0.6692 0.0000 0.1105  0.06
O5 0.0352 0.3660 0.1105  0.06
O6 0.3308 0.0000 0.8895  0.06
O7 0.8654 0.0000 0.6001  0.07
O8 0.9648 0.6340 0.8895  0.06
O9 0.4011 0.6340 0.1105  0.06
O10 0.8022 0.6669 0.4021  0.09
O11 0.4690 0.3331 0.4021  0.09
O12 0.5989 0.3660 0.8895  0.06
Sn1 0.0000 0.0000 0.0000  0.02
Co1 0.6667 0.6667 0.0000  0.76
Co2 0.1666 0.6668 0.5000  0.58
Co3 0.8334 0.3332 0.5000  0.58
Co4 0.3333 0.3333 0.0000  0.76
Co5 0.5000 0.0000 0.5000  0.58

(4)
A plane-wave DFT calculation with PBEsol was carried out for a relaxed Sr6Co4O13 crystal.

Calculated values
Space-group type: Cmmm, No. 65
ΔE_f (raw) in eV per atom: -1.9918
Raw total energy in eV per formula unit: -156.04
Density of states at the Fermi level in states/eV per cell: 14.25

Cell: 5.3775 5.3734 10.1905 Å, 90.00 105.30 90.00°
Last column: magnetic moment on the atom in μB.
Element x y z (fractional)
Sr1 0.1778 0.5000 0.3555  0.00
Sr2 0.5000 0.0000 0.0000  0.01
Sr3 0.8222 0.5000 0.6445  0.00
Sr4 0.3192 0.0000 0.6384  0.00
Sr5 0.0000 0.5000 0.0000  0.01
Sr6 0.6808 0.0000 0.3616  0.00
O1 0.1730 0.2615 0.8221  0.02
O2 0.3510 0.7385 0.1779  0.02
O3 0.8098 0.0000 0.6196  0.07
O4 0.1730 0.7385 0.8221  0.02
O5 0.3510 0.2615 0.1779  0.02
O6 0.1902 0.0000 0.3804  0.07
O7 0.8270 0.7385 0.1779  0.02
O8 0.6989 0.5000 0.3979  -0.06
O9 0.6490 0.7385 0.8221  0.02
O10 0.3011 0.5000 0.6021  -0.06
O11 0.8270 0.2615 0.1779  0.02
O12 0.6490 0.2615 0.8221  0.02
O13 0.0000 0.0000 0.0000  0.26
Co1 0.3912 0.5000 0.7824  -0.25
Co2 0.9055 0.0000 0.8110  1.74
Co3 0.6088 0.5000 0.2176  -0.25
Co4 0.0945 0.0000 0.1890  1.74

(5)
A plane-wave DFT calculation with PBEsol was carried out for a relaxed SrCoO3 crystal.

Calculated values
Space-group type: Pm-3m, No. 221
ΔE_f (raw) in eV per atom: -1.7575
Raw total energy in eV per formula unit: -34.11
Density of states at the Fermi level in states/eV per cell: 2.96

Cell: 3.7803 3.7803 3.7803 Å, 90.00 90.00 90.00°
Last column: magnetic moment on the atom in μB.
Element x y z (fractional)
Sr1 0.5000 0.5000 0.5000  0.01
Co1 0.0000 0.0000 0.0000  1.74
O1 0.5000 0.0000 0.0000  0.17
O2 0.0000 0.0000 0.5000  0.17
O3 0.0000 0.5000 0.0000  0.17

(6)
A plane-wave DFT calculation with PBEsol was carried out for a relaxed Sr2CoO4 crystal.

Calculated values
Space-group type: I4/mmm, No. 139
ΔE_f (raw) in eV per atom: -2.1096
Raw total energy in eV per formula unit: -47.18
Density of states at the Fermi level in states/eV per cell: 3.55

Cell: 3.7406 3.7406 6.7551 Å, 106.07 106.07 90.00°
Last column: magnetic moment on the atom in μB.
Element x y z (fractional)
O1 0.1569 0.1569 0.3139  0.00
O2 0.5000 0.0000 0.0000  0.16
O3 0.8431 0.8431 0.6861  0.00
O4 0.0000 0.5000 0.0000  0.16
Sr1 0.3560 0.3560 0.7120  0.01
Sr2 0.6440 0.6440 0.2880  0.01
Co1 0.0000 0.0000 0.0000  1.44

(7)
A plane-wave DFT calculation with PBEsol was carried out for a relaxed Sr6Co5O15 crystal.

Calculated values
Space-group type: R32, No. 155
ΔE_f (raw) in eV per atom: -1.9781
Raw total energy in eV per formula unit: -179.90
Density of states at the Fermi level in states/eV per cell: 10.32

Cell: 6.8106 6.8106 6.8106 Å, 87.69 87.69 87.69°
Last column: magnetic moment on the atom in μB.
Element x y z (fractional)
Co1 0.5000 0.5000 0.5000  0.83
Co2 0.7060 0.7060 0.7060  0.40
Co3 0.9032 0.9032 0.9032  0.47
Co4 0.0968 0.0968 0.0968  0.47
Co5 0.2940 0.2940 0.2940  0.40
O1 0.8445 0.0000 0.1555  0.01
O2 0.1555 0.8445 0.0000  0.01
O3 0.7349 0.4456 0.6415  0.05
O4 0.3409 0.2060 0.0298  0.01
O5 0.6591 0.9702 0.7940  0.01
O6 0.0298 0.3409 0.2060  0.01
O7 0.0000 0.1555 0.8445  0.01
O8 0.4456 0.6415 0.7349  0.05
O9 0.7940 0.6591 0.9702  0.01
O10 0.3585 0.5544 0.2651  0.05
O11 0.2060 0.0298 0.3409  0.01
O12 0.9702 0.7940 0.6591  0.01
O13 0.6415 0.7349 0.4456  0.05
O14 0.2651 0.3585 0.5544  0.05
O15 0.5544 0.2651 0.3585  0.05
Sr1 0.8588 0.1412 0.5000  0.00
Sr2 0.0000 0.6788 0.3212  0.00
Sr3 0.3212 0.0000 0.6788  0.00
Sr4 0.6788 0.3212 0.0000  0.00
Sr5 0.5000 0.8588 0.1412  0.00
Sr6 0.1412 0.5000 0.8588  0.00

(8)
A plane-wave DFT calculation with PBEsol was carried out for a relaxed SrCoO3 crystal.

Calculated values
Space-group type: P4/mmm, No. 123
ΔE_f (raw) in eV per atom: -1.1812
Raw total energy in eV per formula unit: -31.23
Density of states at the Fermi level in states/eV per cell: 4.67

Cell: 3.4505 3.4505 6.7355 Å, 90.00 90.00 90.00°
Last column: magnetic moment on the atom in μB.
Element x y z (fractional)
O1 0.0000 0.5000 0.0000  0.31
O2 0.5000 0.0000 0.0000  0.31
O3 0.5000 0.5000 0.5000  0.22
Sr1 0.0000 0.0000 0.5000  0.01
Co1 0.0000 0.0000 0.0000  0.84

(9)
A plane-wave DFT calculation with PBEsol was carried out for a relaxed SrCo3O crystal.

Calculated values
Space-group type: Pm-3m, No. 221
ΔE_f (raw) in eV per atom: 2.7651
Raw total energy in eV per formula unit: -16.48
Density of states at the Fermi level in states/eV per cell: 9.15

Cell: 4.6110 4.6110 4.6110 Å, 90.00 90.00 90.00°
Last column: magnetic moment on the atom in μB.
Element x y z (fractional)
O1 0.5000 0.5000 0.5000  0.72
Co1 0.0000 0.5000 0.0000  1.45
Co2 0.0000 0.0000 0.5000  1.45
Co3 0.5000 0.0000 0.0000  1.45
Sr1 0.0000 0.0000 0.0000  -0.18

(10)
A plane-wave DFT calculation with PBEsol was carried out for a relaxed SrCoO3 crystal.

Calculated values
Space-group type: P-1, No. 2
ΔE_f (raw) in eV per atom: -1.6967
Raw total energy in eV per formula unit: -33.81
Density of states at the Fermi level in states/eV per cell: 16.46

Cell: 4.8587 5.4013 9.4530 Å, 89.64 84.82 90.01°
Last column: magnetic moment on the atom in μB.
Element x y z (fractional)
Co1 0.5000 0.5000 0.0000  0.49
Co2 0.9980 0.7496 0.9973  0.48
Co3 0.5000 0.0000 0.0000  0.49
Co4 0.0020 0.2504 0.0027  0.48
Sr1 0.5321 0.2514 0.3468  0.00
Sr2 0.9804 0.2486 0.6524  0.00
Sr3 0.4679 0.7486 0.6532  0.00
Sr4 0.0196 0.7514 0.3476  0.00
O1 0.3149 0.2489 0.1031  0.07
O2 0.0224 0.2514 0.3930  0.34
O3 0.6851 0.7511 0.8969  0.07
O4 0.8111 0.4995 0.1051  0.05
O5 0.8118 0.9983 0.1047  0.04
O6 0.1882 0.0017 0.8953  0.04
O7 0.5128 0.7517 0.3936  0.34
O8 0.4872 0.2483 0.6064  0.34
O9 0.9776 0.7486 0.6070  0.34
O10 0.6922 0.2512 0.8997  0.05
O11 0.1889 0.5005 0.8949  0.05
O12 0.3078 0.7488 0.1003  0.05

(11)
A plane-wave DFT calculation with PBEsol was carried out for a relaxed Sr2CoTeO6 crystal.

Calculated values
Space-group type: P2_1/c, No. 14
ΔE_f (raw) in eV per atom: -1.8782
Raw total energy in eV per formula unit: -65.22
Density of states at the Fermi level in states/eV per cell: 14.03

Cell: 5.5922 5.6162 7.9043 Å, 90.01 90.00 90.00°
Last column: magnetic moment on the atom in μB.
Element x y z (fractional)
O1 0.2816 0.2703 0.9702  0.06
O2 0.0084 0.4419 0.2554  0.06
O3 0.7713 0.2174 0.9691  0.06
O4 0.2287 0.7826 0.0309  0.06
O5 0.7287 0.7174 0.4691  0.06
O6 0.7184 0.7297 0.0298  0.06
O7 0.2184 0.7703 0.4702  0.06
O8 0.2713 0.2826 0.5309  0.06
O9 0.4916 0.9419 0.7553  0.06
O10 0.7816 0.2297 0.5298  0.06
O11 0.9916 0.5581 0.7446  0.06
O12 0.5084 0.0581 0.2447  0.06
Sr1 0.4792 0.5039 0.2495  0.00
Sr2 0.5208 0.4961 0.7505  0.00
Sr3 0.0208 0.0039 0.7494  0.00
Sr4 0.9792 0.9961 0.2506  0.00
Co1 0.0000 0.5000 0.0000  2.51
Co2 0.5000 0.0000 0.5000  2.51
Te1 0.0000 0.5000 0.5000  0.04
Te2 0.5000 0.0000 0.0000  0.04

(12)
A plane-wave DFT calculation with PBEsol was carried out for a relaxed Sr2YTlCo2O7 crystal.

Calculated values
Space-group type: P4/mmm, No. 123
ΔE_f (raw) in eV per atom: -1.9783
Raw total energy in eV per formula unit: -91.07
Density of states at the Fermi level in states/eV per cell: 6.99

Cell: 3.7248 3.7248 12.0134 Å, 90.00 90.00 90.00°
Last column: magnetic moment on the atom in μB.
Element x y z (fractional)
Co1 0.0000 0.0000 0.3621  1.47
Co2 0.0000 0.0000 0.6379  1.47
Sr1 0.5000 0.5000 0.7941  0.00
Sr2 0.5000 0.5000 0.2059  0.00
O1 0.5000 0.0000 0.3800  0.08
O2 0.5000 0.0000 0.6200  0.08
O3 0.5000 0.5000 0.0000  -0.01
O4 0.0000 0.0000 0.1923  0.02
O5 0.0000 0.5000 0.3800  0.08
O6 0.0000 0.0000 0.8077  0.02
O7 0.0000 0.5000 0.6200  0.08
Y1 0.5000 0.5000 0.5000  -0.01
Tl1 0.0000 0.0000 0.0000  -0.04